Computed, not measured: a relaxed TlCdB crystal at the GGA-PBE level of DFT.

POSCAR file:
```
TlCdB
1.0
6.640 0.072 0.012
3.259 5.876 0.074
1.972 -0.016 3.663
Tl Cd B
2 2 2
Direct
0.955 0.601 0.916 Tl
0.497 0.601 0.765 Tl
0.022 0.005 0.337 Cd
0.446 0.155 0.338 Cd
0.808 0.166 0.950 B
0.072 0.167 0.725 B
```

Computed, not measured: a relaxed TlCdB crystal at the GGA-PBE level of DFT.

POSCAR file:
```
TlCdB
1.0
-6.333 -0.219 4.268
2.367 -1.561 3.432
1.445 7.785 2.544
Cd B Tl
4 4 4
Direct
0.412 0.750 0.400 Cd
0.912 0.750 0.100 Cd
0.588 0.250 0.600 Cd
0.088 0.250 0.900 Cd
0.884 0.250 0.150 B
0.616 0.750 0.650 B
0.384 0.250 0.350 B
0.116 0.750 0.850 B
0.078 0.250 0.371 Tl
0.422 0.750 0.871 Tl
0.922 0.750 0.629 Tl
0.578 0.250 0.129 Tl
```

no.,D(E_F) (states/eV/cell),E (eV per cell),DFT formation energy (eV per atom)
1,1.63,-16.8,0.521
2,3.26,-30.0,0.822